Entry 1:
Below is a relaxed structure of CeYAg2, with properties calculated at the GGA-PBE level.

total magnetic moment = 1.2 Bohr magnetons per cell
E above lowest polymorph = 0.0000 eV per atom

POSCAR file:
```
CeYAg2
1.0
3.610 0.000 0.000
0.000 3.610 0.000
0.000 0.000 7.680
Ce Y Ag
1 1 2
Cartesian
0.000 0.000 0.000
0.000 0.000 3.840
1.805 1.805 2.061
1.805 1.805 5.619
```

Entry 2:
Below is a relaxed structure of CeY2Ag3, with properties calculated at the GGA-PBE level.

total magnetic moment = 1.3 Bohr magnetons per cell
total energy = -4.81 eV/atom

POSCAR file:
```
CeY2Ag3
1.0
3.626 0.000 0.000
0.000 3.626 0.000
0.000 0.000 11.304
Ce Y Ag
1 2 3
Cartesian
0.000 0.000 0.000
0.000 0.000 3.813
0.000 0.000 7.491
1.813 1.813 2.047
1.813 1.813 5.652
1.813 1.813 9.256
```

Entry 3:
Below is a relaxed structure of CeYAg4, with properties calculated at the GGA-PBE level.

total magnetic moment = 1.2 Bohr magnetons per cell
E above lowest polymorph = 0.0834 eV per atom

POSCAR file:
```
CeYAg4
1.0
0.000 4.056 4.056
4.056 0.000 4.056
4.056 4.056 0.000
Ce Y Ag
1 1 4
Cartesian
0.000 0.000 0.000
2.028 2.028 2.028
5.068 3.045 3.045
3.045 5.068 3.045
3.045 3.045 5.068
5.068 5.068 5.068
```

Entry 4:
Below is a relaxed structure of CeYAg2, with properties calculated at the GGA-PBE level.

total magnetic moment = 1.0 Bohr magnetons per cell
E above lowest polymorph = 0.0215 eV per atom

POSCAR file:
```
CeYAg2
1.0
0.000 3.694 3.694
3.694 0.000 3.694
3.694 3.694 0.000
Ce Y Ag
1 1 2
Cartesian
0.000 0.000 0.000
3.694 3.694 3.694
1.847 1.847 1.847
5.541 5.541 5.541
```

Entry 5:
Below is a relaxed structure of CeYAg, with properties calculated at the GGA-PBE level.

total magnetic moment = 1.6 Bohr magnetons per cell
E above lowest polymorph = 0.0000 eV per atom

POSCAR file:
```
CeYAg
1.0
1.752 -8.502 0.000
1.752 8.502 0.000
0.000 0.000 5.277
Ce Y Ag
2 2 2
Cartesian
1.752 4.573 3.958
1.752 -4.573 1.319
1.752 7.148 1.319
1.752 -7.148 3.958
1.752 1.272 1.319
1.752 -1.272 3.958
```

Entry 6:
Below is a relaxed structure of Ce2YAg, with properties calculated at the GGA-PBE level.

total magnetic moment = 0.4 Bohr magnetons per cell
E above lowest polymorph = 0.1397 eV per atom

POSCAR file:
```
Ce2YAg
1.0
1.596 0.922 11.765
-1.596 0.922 11.765
0.000 -1.843 11.765
Ce Y Ag
2 1 1
Cartesian
0.000 0.000 3.188
0.000 0.000 32.106
0.000 0.000 0.000
0.000 0.000 17.647
```

Entry 7:
Below is a relaxed structure of CeYAg, with properties calculated at the GGA-PBE level.

total magnetic moment = 1.1 Bohr magnetons per cell
E above lowest polymorph = 0.1991 eV per atom

POSCAR file:
```
CeYAg
1.0
5.136 0.000 0.000
-2.568 4.448 0.000
0.000 0.000 3.479
Ce Y Ag
1 1 1
Cartesian
0.000 0.000 0.000
2.568 1.483 2.049
0.000 2.965 1.139
```

Entry 8:
Below is a relaxed structure of CeYAg4, with properties calculated at the GGA-PBE level.

total magnetic moment = 1.0 Bohr magnetons per cell
E above lowest polymorph = 0.0000 eV per atom

POSCAR file:
```
CeYAg4
1.0
5.116 -1.838 0.000
5.116 1.838 0.000
-2.909 0.000 7.203
Ce Y Ag
1 1 4
Cartesian
0.000 0.000 0.000
-1.455 0.000 3.602
1.435 0.000 4.730
2.854 0.000 1.247
4.469 0.000 5.957
5.888 0.000 2.474
```

Entry 9:
Below is a relaxed structure of Ce2YAg, with properties calculated at the GGA-PBE level.

total magnetic moment = 1.8 Bohr magnetons per cell
E above lowest polymorph = 0.0000 eV per atom

POSCAR file:
```
Ce2YAg
1.0
3.382 0.000 0.000
0.000 3.382 0.000
0.000 0.000 9.819
Ce Y Ag
2 1 1
Cartesian
0.000 0.000 2.194
0.000 0.000 7.625
1.691 1.691 4.909
1.691 1.691 0.000
```

Entry 10:
Below is a relaxed structure of CeYAg3, with properties calculated at the GGA-PBE level.

total magnetic moment = 2.6 Bohr magnetons per cell
total energy = -4.38 eV/atom

POSCAR file:
```
CeYAg3
1.0
1.726 -14.227 0.000
1.726 14.227 0.000
0.000 0.000 4.860
Ce Y Ag
2 2 6
Cartesian
1.726 12.085 3.645
1.726 -12.085 1.215
1.726 8.247 1.215
1.726 -8.247 3.645
1.726 5.064 1.215
1.726 3.468 3.645
1.726 0.683 3.645
1.726 -0.683 1.215
1.726 -3.468 1.215
1.726 -5.064 3.645
```

Entry 11:
Below is a relaxed structure of CeY3Ag4, with properties calculated at the GGA-PBE level.

total magnetic moment = 1.3 Bohr magnetons per cell
total energy = -4.85 eV/atom

POSCAR file:
```
CeY3Ag4
1.0
3.622 0.000 0.000
0.000 3.622 0.000
0.000 0.000 15.025
Ce Y Ag
1 3 4
Cartesian
0.000 0.000 0.000
0.000 0.000 3.824
0.000 0.000 7.513
0.000 0.000 11.202
1.811 1.811 2.059
1.811 1.811 5.664
1.811 1.811 9.362
1.811 1.811 12.966
```

Entry 12:
Below is a relaxed structure of CeYAg, with properties calculated at the GGA-PBE level.

total magnetic moment = 1.4 Bohr magnetons per cell
E above lowest polymorph = 0.0514 eV per atom

POSCAR file:
```
CeYAg
1.0
-1.763 1.763 6.624
1.763 -1.763 6.624
1.763 1.763 -6.624
Ce Y Ag
1 1 1
Cartesian
0.000 0.000 0.000
0.000 0.000 3.992
0.000 0.000 8.751
```